[1]
A plane-wave DFT calculation with meta-GGA SCAN was carried out for a PBEsol-optimized structure of AlCuAsO5.

Geometry as extended XYZ:
```
32
Lattice="7.329 0.000 0.000 0.000 10.182 0.000 -1.032 0.000 5.567" Properties=species:S:1:pos:R:3 pbc="T T T"
Al 0.636 1.814 2.445
Al 0.120 3.278 5.228
Al 6.177 6.905 0.339
Al 5.661 8.369 3.122
Cu 2.437 1.410 5.076
Cu 2.953 3.681 2.293
Cu 3.344 6.501 3.274
Cu 3.860 8.772 0.491
As 1.914 6.234 0.434
As 1.398 9.040 3.217
As 4.899 1.143 2.349
As 4.383 3.948 5.133
O 0.556 7.222 0.685
O 0.040 8.052 3.468
O 1.005 0.115 2.138
O 0.489 4.977 4.922
O 0.993 2.257 4.102
O 1.509 2.834 1.319
O 2.315 5.507 1.961
O 1.799 9.767 4.744
O 2.208 7.074 5.321
O 2.724 8.199 2.538
O 3.573 1.983 3.029
O 4.089 3.108 0.246
O 4.498 0.416 0.823
O 3.982 4.676 3.606
O 4.788 7.349 4.248
O 5.304 7.925 1.464
O 5.808 5.206 0.645
O 5.292 10.068 3.428
O 6.257 2.131 2.098
O 5.741 2.961 4.882
```

Fermi-level density of states   0.0000 states/eV/atom
Space-group type   P2_1/c, No. 14
Volume   13.0 Å³/atom
E_form (uncorrected)   -1848 meV/atom


[2]
A plane-wave DFT calculation with meta-GGA SCAN was carried out for a PBEsol-optimized structure of Zr2AlCuAs.

Geometry as extended XYZ:
```
5
Lattice="4.985 0.000 0.000 0.000 4.985 0.000 0.000 0.000 4.199" Properties=species:S:1:pos:R:3 pbc="T T T"
Zr 0.000 2.493 0.000
Zr 2.493 0.000 0.000
Al 0.000 0.000 0.000
Cu 0.000 0.000 2.100
As 2.493 2.493 2.100
```

Fermi-level density of states   0.6117 states/eV/atom
Space-group type   P4/mmm, No. 123
Calculated formation energy   8.74 kcal/mol of atoms
Volume   20.9 Å³/atom


[3]
A plane-wave DFT calculation with meta-GGA SCAN was carried out for a PBEsol-optimized structure of Eu3Al2As4.

Geometry as extended XYZ:
```
18
Lattice="6.579 -5.117 0.000 6.579 5.117 0.000 -0.159 0.000 6.578" Properties=species:S:1:pos:R:3 pbc="T T T"
Eu 6.460 4.135 4.934
Eu 4.990 1.294 0.198
Eu 8.088 1.294 3.091
Eu 4.911 -1.294 3.487
Eu 8.009 -1.294 6.381
Eu 6.539 -4.135 1.645
Al 2.614 1.284 3.859
Al 2.693 -1.284 0.570
Al 10.306 1.284 6.009
Al 10.385 -1.284 2.719
As 1.912 0.904 6.183
As 5.041 1.763 3.464
As 1.991 -0.904 2.894
As 7.879 1.763 6.403
As 5.121 -1.763 0.175
As 11.008 0.904 3.685
As 7.958 -1.763 3.114
As 11.088 -0.904 0.395
```

Fermi-level density of states   2.9453 states/eV/atom
Space-group type   C2/c, No. 15
Calculated formation energy   -25.06 kcal/mol of atoms
Volume   24.6 Å³/atom


[4]
A plane-wave DFT calculation with meta-GGA SCAN was carried out for a PBEsol-optimized structure of LaAlAsF2.

Geometry as extended XYZ:
```
5
Lattice="4.432 0.000 0.000 0.000 4.432 0.000 0.000 0.000 6.277" Properties=species:S:1:pos:R:3 pbc="T T T"
La 0.000 0.000 0.000
Al 2.216 2.216 3.139
As 0.000 0.000 3.139
F 0.000 2.216 0.000
F 2.216 0.000 0.000
```

Fermi-level density of states   0.1512 states/eV/atom
Space-group type   P4/mmm, No. 123
Volume   24.7 Å³/atom
E_form (uncorrected)   -2106 meV/atom


[5]
A plane-wave DFT calculation with meta-GGA SCAN was carried out for a PBEsol-optimized structure of Al2FeAs.

Geometry as extended XYZ:
```
4
Lattice="1.480 0.854 7.759 -1.480 0.854 7.759 0.000 -1.709 7.759" Properties=species:S:1:pos:R:3 pbc="T T T"
Al 0.000 0.000 0.000
Al 0.000 0.000 5.559
Fe 0.000 0.000 11.509
As 0.000 0.000 17.688
```

Fermi-level density of states   0.6445 states/eV/atom
Space-group type   R3m, No. 160
Calculated formation energy   0.88 kcal/mol of atoms
Volume   14.7 Å³/atom


[6]
A plane-wave DFT calculation with meta-GGA SCAN was carried out for a PBEsol-optimized structure of Al2FeAs.

Geometry as extended XYZ:
```
4
Lattice="-1.360 2.019 5.531 1.360 -2.019 5.531 1.360 2.019 -5.531" Properties=species:S:1:pos:R:3 pbc="T T T"
Al 0.000 0.000 0.000
Al 0.000 2.019 1.998
Fe 0.000 0.000 5.480
As 1.360 0.000 3.535
```

Fermi-level density of states   0.3801 states/eV/atom
Space-group type   Imm2, No. 44
Calculated formation energy   -2.03 kcal/mol of atoms
Volume   15.2 Å³/atom


[7]
A plane-wave DFT calculation with meta-GGA SCAN was carried out for a PBEsol-optimized structure of Al2FeAs.

Geometry as extended XYZ:
```
4
Lattice="3.234 0.000 0.000 0.000 3.234 0.000 0.000 0.000 5.258" Properties=species:S:1:pos:R:3 pbc="T T T"
Al 0.000 0.000 1.243
Al 0.000 0.000 4.015
Fe 1.617 1.617 0.000
As 1.617 1.617 2.629
```

Fermi-level density of states   0.4188 states/eV/atom
Space-group type   P4/mmm, No. 123
Calculated formation energy   -2.33 kcal/mol of atoms
Volume   13.7 Å³/atom


[8]
A plane-wave DFT calculation with meta-GGA SCAN was carried out for a PBEsol-optimized structure of La6Al4Fe9As.

Geometry as extended XYZ:
```
40
Lattice="-4.015 4.015 11.406 4.015 -4.015 11.406 4.015 4.015 -11.406" Properties=species:S:1:pos:R:3 pbc="T T T"
La 2.611 -1.404 4.340
La 0.000 0.000 2.419
La 5.418 -1.404 7.066
La 5.418 1.404 4.340
La 0.000 0.000 8.987
La 2.611 1.404 7.066
La 1.404 2.611 4.340
La 0.000 0.000 13.825
La -1.404 2.611 7.066
La -1.404 5.418 4.340
La 0.000 0.000 20.393
La 1.404 5.418 7.066
Al 3.061 0.954 -2.128
Al 3.061 0.954 2.128
Al 3.061 -0.954 9.278
Al 3.061 -0.954 13.534
Al 0.954 4.969 -2.128
Al 0.954 4.969 2.128
Al 0.954 3.061 9.278
Al 0.954 3.061 13.534
Fe 4.015 0.000 0.000
Fe 1.703 0.545 0.000
Fe 5.428 1.413 -1.223
Fe 3.470 -2.311 11.406
Fe 5.428 1.413 1.223
Fe 1.413 2.601 -1.223
Fe 3.470 2.311 0.000
Fe 1.413 2.601 1.223
Fe 1.703 -0.545 11.406
Fe 0.000 4.015 0.000
Fe 2.311 4.559 0.000
Fe 2.601 1.413 10.183
Fe 0.545 1.703 11.406
Fe 2.601 1.413 12.629
Fe -1.413 2.601 10.183
Fe 0.545 6.326 0.000
Fe -1.413 2.601 12.629
Fe 2.311 3.470 11.406
As 0.000 0.000 5.703
As 0.000 0.000 17.109
```

Fermi-level density of states   0.9866 states/eV/atom
Space-group type   I4/mcm, No. 140
Calculated formation energy   -7.39 kcal/mol of atoms
Volume   18.4 Å³/atom


[9]
A plane-wave DFT calculation with meta-GGA SCAN was carried out for a PBEsol-optimized structure of AlGaAs2.

Geometry as extended XYZ:
```
8
Lattice="-2.835 2.835 5.673 2.835 -2.835 5.673 2.835 2.835 -5.673" Properties=species:S:1:pos:R:3 pbc="T T T"
Al 0.000 0.000 0.000
Al 0.000 2.835 2.836
Ga 2.835 0.000 2.836
Ga 0.000 0.000 5.673
As 1.417 -1.413 4.255
As 1.421 1.417 1.418
As 1.417 4.248 -1.418
As 1.413 1.417 7.091
```

Fermi-level density of states   0.0000 states/eV/atom
Space-group type   I-42d, No. 122
Calculated formation energy   -11.33 kcal/mol of atoms
Volume   22.8 Å³/atom


[10]
A plane-wave DFT calculation with meta-GGA SCAN was carried out for a PBEsol-optimized structure of AlGaAs2.

Geometry as extended XYZ:
```
4
Lattice="2.005 1.158 6.547 -2.005 1.158 6.547 0.000 -2.315 6.547" Properties=species:S:1:pos:R:3 pbc="T T T"
Al 0.000 0.000 0.000
Ga 0.000 0.000 9.813
As 0.000 0.000 7.359
As 0.000 0.000 17.181
```

Space-group type   R3m, No. 160
Calculated formation energy   -11.36 kcal/mol of atoms
Volume   22.8 Å³/atom


[11]
A plane-wave DFT calculation with meta-GGA SCAN was carried out for a PBEsol-optimized structure of Al3GaAs.

Geometry as extended XYZ:
```
5
Lattice="4.835 0.000 0.000 0.000 4.835 0.000 0.000 0.000 4.835" Properties=species:S:1:pos:R:3 pbc="T T T"
Al 0.000 0.000 2.418
Al 0.000 2.418 0.000
Al 2.418 0.000 0.000
Ga 2.418 2.418 2.418
As 0.000 0.000 0.000
```

Fermi-level density of states   0.6182 states/eV/atom
Space-group type   Pm-3m, No. 221
Calculated formation energy   15.11 kcal/mol of atoms
Volume   22.6 Å³/atom


[12]
A plane-wave DFT calculation with meta-GGA SCAN was carried out for a PBEsol-optimized structure of Al2GeAs.

Geometry as extended XYZ:
```
4
Lattice="0.000 3.254 3.254 3.254 0.000 3.254 3.254 3.254 0.000" Properties=species:S:1:pos:R:3 pbc="T T T"
Al 1.627 1.627 1.627
Al 4.881 4.881 4.881
Ge 0.000 0.000 0.000
As 3.254 3.254 3.254
```

Fermi-level density of states   0.4234 states/eV/atom
Space-group type   Fm-3m, No. 225
Calculated formation energy   3.77 kcal/mol of atoms
Volume   17.2 Å³/atom


- Number 7 is which compound?
  Al2FeAs